A plane-wave DFT calculation with GGA-PBE was carried out for Er3Al2Ga after structural relaxation.

Values from the calculation:
Density of states at the Fermi level ... 2.51 states/eV per cell
Energy ... -26.91 eV per formula unit
Energy relative to the elements ... -262 kJ/mol of formula units

Cell lengths 3.5405, 3.5405, 10.7862 Å; angles 90.00, 90.00, 90.00 degrees
Space group P4/mmm (No. 123)
One atom of each set of equivalent atoms:
Er 0.0000 0.0000 0.0000 [1 per cell]
Er 0.0000 0.0000 0.3358 [2 per cell]
Al 0.5000 0.5000 0.1670 [2 per cell]
Ga 0.5000 0.5000 0.5000 [1 per cell]

A plane-wave DFT calculation with GGA-PBE was carried out for Tb5CeDyY2 after structural relaxation.

Values from the calculation:
Density of states at the Fermi level ... 70.41 states/eV per cell
Energy ... -45.07 eV per formula unit
Energy relative to the elements ... 149 kJ/mol of formula units

Cell lengths 5.6258, 20.1469, 10.3802 Å; angles 90.00, 90.00, 90.00 degrees
Space group Cmc2_1 (No. 36)
One atom of each set of equivalent atoms:
Tb 0.0000 0.0174 0.0000 [4 per cell]
Tb 0.0000 0.2778 0.2875 [4 per cell]
Tb 0.0000 0.2976 0.6796 [4 per cell]
Tb 0.0000 0.3928 0.0048 [4 per cell]
Tb 0.0000 0.4775 0.7178 [4 per cell]
Ce 0.0000 0.2020 0.9906 [4 per cell]
Dy 0.0000 0.4101 0.4285 [4 per cell]
Y 0.0000 0.1131 0.7101 [4 per cell]
Y 0.0000 0.1148 0.2975 [4 per cell]

A plane-wave DFT calculation with GGA-PBE was carried out for Ho2ErIn3Se6 after structural relaxation.

Values from the calculation:
Energy relative to the elements, uncorrected ... -1297 meV/atom
Energy ... -58.41 eV per formula unit

Cell lengths 7.1470, 12.3778, 8.1080 Å; angles 90.00, 107.09, 90.00 degrees
Space group C2/m (No. 12)
One atom of each set of equivalent atoms:
Ho 0.0000 0.1667 0.0000 [4 per cell]
Er 0.0000 0.5000 0.0000 [2 per cell]
In 0.0000 0.0000 0.5000 [2 per cell]
In 0.0000 0.3331 0.5000 [4 per cell]
Se 0.2351 0.3339 0.2068 [8 per cell]
Se 0.2367 0.0000 0.2071 [4 per cell]

A plane-wave DFT calculation with GGA-PBE was carried out for KCdInAu after structural relaxation.

Values from the calculation:
Density of states at the Fermi level ... 5.30 states/eV per cell
ΔE to the lowest computed polymorph ... 0.1615 eV/atom
Energy ... -8.25 eV per formula unit
Energy relative to the elements ... -21 kJ/mol of formula units

Cell lengths 7.5309, 7.5309, 7.5309 Å; angles 90.00, 90.00, 90.00 degrees
Space group F-43m (No. 216)
One atom of each set of equivalent atoms:
K 0.0000 0.0000 0.0000 [4 per cell]
Cd 0.2500 0.2500 0.7500 [4 per cell]
In 0.0000 0.0000 0.5000 [4 per cell]
Au 0.2500 0.2500 0.2500 [4 per cell]

A plane-wave DFT calculation with GGA-PBE was carried out for RePdPb2 after structural relaxation.

Values from the calculation:
Density of states at the Fermi level ... 19.36 states/eV per cell
ΔE to the lowest computed polymorph ... 0.0000 eV/atom
Energy ... -22.33 eV per formula unit
Energy relative to the elements ... 263 kJ/mol of formula units

Cell lengths 6.8477, 6.8477, 6.8477 Å; angles 90.00, 90.00, 90.00 degrees
Space group Fm-3m (No. 225)
One atom of each set of equivalent atoms:
Re 0.0000 0.0000 0.0000 [4 per cell]
Pd 0.0000 0.0000 0.5000 [4 per cell]
Pb 0.2500 0.2500 0.2500 [8 per cell]

A plane-wave DFT calculation with GGA-PBE was carried out for ZnSiI2N after structural relaxation.

Values from the calculation:
Energy relative to the elements, uncorrected ... 881 meV/atom
Density of states at the Fermi level ... 1.71 states/eV per cell
ΔE to the lowest computed polymorph ... 0.5783 eV/atom
Energy ... -13.72 eV per formula unit

Cell lengths 5.7792, 5.7792, 3.7703 Å; angles 90.00, 90.00, 90.00 degrees
Space group P4/mmm (No. 123)
One atom of each set of equivalent atoms:
Zn 0.0000 0.0000 0.0000 [1 per cell]
Si 0.5000 0.5000 0.5000 [1 per cell]
I 0.0000 0.5000 0.0000 [2 per cell]
N 0.0000 0.0000 0.5000 [1 per cell]

Copy entry 2 word for word.
A plane-wave DFT calculation with GGA-PBE was carried out for Tb5CeDyY2 after structural relaxation.

Values from the calculation:
Density of states at the Fermi level ... 70.41 states/eV per cell
Energy ... -45.07 eV per formula unit
Energy relative to the elements ... 149 kJ/mol of formula units

Cell lengths 5.6258, 20.1469, 10.3802 Å; angles 90.00, 90.00, 90.00 degrees
Space group Cmc2_1 (No. 36)
One atom of each set of equivalent atoms:
Tb 0.0000 0.0174 0.0000 [4 per cell]
Tb 0.0000 0.2778 0.2875 [4 per cell]
Tb 0.0000 0.2976 0.6796 [4 per cell]
Tb 0.0000 0.3928 0.0048 [4 per cell]
Tb 0.0000 0.4775 0.7178 [4 per cell]
Ce 0.0000 0.2020 0.9906 [4 per cell]
Dy 0.0000 0.4101 0.4285 [4 per cell]
Y 0.0000 0.1131 0.7101 [4 per cell]
Y 0.0000 0.1148 0.2975 [4 per cell]